[1]
## HoMgZn2Ir4 (PBE)

Data for a relaxed HoMgZn2Ir4 crystal.

Output
E_tot   -5.822 eV per atom
Density   14.44 g/cm3
Magnetization   0.00 μB per formula unit

a = 4.446 Å, b = 4.446 Å, c = 6.335 Å
α = 90.00°, β = 90.00°, γ = 90.00°
Element x y z (fractional)
Ir  0.500  0.000  0.733
Ir  0.500  0.000  0.267
Ir  0.000  0.500  0.267
Zn  0.500  0.500  0.000
Mg  0.500  0.500  0.500
Ho  0.000  0.000  0.000
Zn  0.000  0.000  0.500
Ir  0.000  0.500  0.733



[2]
## CsAgPbSe2S (PBE)

Data for a relaxed CsAgPbSe2S crystal.

Output
E_tot   -3.494 eV per atom
Density   5.86 g/cm3

a = 7.289 Å, b = 7.289 Å, c = 11.711 Å
α = 90.00°, β = 90.00°, γ = 144.47°
Element x y z (fractional)
Cs  0.284  0.716  0.750
Cs  0.716  0.284  0.250
Se  0.359  0.641  0.041
Pb  0.000  0.000  0.000
S  0.013  0.987  0.250
Se  0.359  0.641  0.459
Se  0.641  0.359  0.959
S  0.987  0.013  0.750
Se  0.641  0.359  0.541
Ag  0.572  0.428  0.750
Pb  0.000  0.000  0.500
Ag  0.428  0.572  0.250



[3]
## Al5W (PBE)

Data for a relaxed Al5W crystal.

Output
E_tot   -5.195 eV per atom
Density   5.29 g/cm3
Magnetization   0.00 μB per formula unit

a = 5.096 Å, b = 5.096 Å, c = 8.891 Å
α = 90.00°, β = 90.00°, γ = 120.00°
Element x y z (fractional)
Al  0.834  0.166  0.250
Al  0.166  0.834  0.750
Al  0.669  0.834  0.750
Al  0.166  0.331  0.750
W  0.000  0.000  0.500
Al  0.333  0.667  0.466
Al  0.331  0.166  0.250
Al  0.834  0.669  0.250
Al  0.333  0.667  0.034
W  0.000  0.000  0.000
Al  0.667  0.333  0.966
Al  0.667  0.333  0.534



[4]
## ScCuGeTe3 (PBE)

Data for a relaxed ScCuGeTe3 crystal.

Output
E_tot   -4.467 eV per atom
Density   5.82 g/cm3
Relative energy among the computed polymorphs   21.7 meV per atom
Magnetization   0.00 μB per formula unit

a = 4.194 Å, b = 12.159 Å, c = 12.614 Å
α = 90.00°, β = 90.00°, γ = 90.00°
Element x y z (fractional)
Te  0.250  0.340  0.717
Ge  0.750  0.901  0.232
Te  0.250  0.160  0.217
Te  0.750  0.427  0.088
Te  0.750  0.144  0.950
Ge  0.750  0.599  0.732
Te  0.750  0.073  0.588
Cu  0.250  0.725  0.740
Sc  0.250  0.320  0.946
Cu  0.750  0.225  0.760
Te  0.750  0.840  0.783
Cu  0.750  0.275  0.260
Sc  0.250  0.180  0.446
Te  0.250  0.927  0.412
Te  0.250  0.644  0.550
Ge  0.250  0.401  0.268
Te  0.750  0.356  0.450
Sc  0.750  0.680  0.054
Cu  0.250  0.775  0.240
Te  0.250  0.856  0.050
Sc  0.750  0.820  0.554
Te  0.750  0.660  0.283
Ge  0.250  0.099  0.768
Te  0.250  0.573  0.912



[5]
## GdGaH2 (PBE)

Data for a relaxed GdGaH2 crystal.

Output
E_tot   -4.122 eV per atom
Density   7.76 g/cm3
Magnetization   0.00 μB per formula unit

a = 4.070 Å, b = 12.276 Å, c = 11.775 Å
α = 90.00°, β = 90.00°, γ = 90.00°
Element x y z (fractional)
Ga  0.500  0.584  0.936
Gd  0.000  0.248  0.348
H  0.000  0.764  0.056
Ga  0.500  0.416  0.436
H  0.500  0.916  0.250
Ga  0.000  0.084  0.564
H  0.500  0.264  0.444
Gd  0.500  0.585  0.652
H  0.000  0.083  0.250
H  0.500  0.931  0.445
Gd  0.500  0.081  0.152
H  0.000  0.250  0.750
Ga  0.500  0.917  0.936
Gd  0.000  0.581  0.348
H  0.500  0.249  0.250
H  0.000  0.236  0.556
Gd  0.000  0.419  0.848
H  0.500  0.736  0.944
H  0.500  0.583  0.250
H  0.000  0.903  0.556
Ga  0.000  0.583  0.064
Gd  0.500  0.252  0.652
H  0.000  0.416  0.250
H  0.000  0.097  0.056
H  0.000  0.569  0.555
H  0.500  0.084  0.750
H  0.500  0.751  0.750
Gd  0.000  0.085  0.848
H  0.500  0.417  0.750
Ga  0.000  0.916  0.064
Ga  0.000  0.249  0.064
H  0.000  0.431  0.055
Ga  0.000  0.751  0.564
Gd  0.500  0.919  0.652
H  0.500  0.069  0.945
Ga  0.500  0.083  0.436
Ga  0.500  0.250  0.936
H  0.000  0.917  0.750
Gd  0.500  0.415  0.152
H  0.500  0.403  0.944
Ga  0.500  0.750  0.436
Gd  0.000  0.752  0.848
H  0.500  0.597  0.444
Gd  0.000  0.915  0.348
Ga  0.000  0.417  0.564
H  0.000  0.584  0.750
Gd  0.500  0.748  0.152
H  0.000  0.750  0.250



[6]
## ScAgTeO (PBE)

Data for a relaxed ScAgTeO crystal.

Output
E_tot   -5.953 eV per atom
Density   6.62 g/cm3
Relative energy among the computed polymorphs   8.0 meV per atom
Magnetization   0.00 μB per formula unit

a = 5.490 Å, b = 9.862 Å, c = 5.490 Å
α = 90.00°, β = 90.00°, γ = 90.00°
Element x y z (fractional)
O  0.000  0.000  0.750
Te  0.250  0.278  0.000
O  0.500  0.000  0.250
Sc  0.750  0.906  0.500
Sc  0.250  0.094  0.500
O  0.500  0.000  0.750
O  0.000  0.000  0.250
Ag  0.000  0.500  0.750
Sc  0.750  0.094  0.000
Ag  0.500  0.500  0.750
Te  0.750  0.722  0.000
Ag  0.500  0.500  0.250
Te  0.750  0.278  0.500
Ag  0.000  0.500  0.250
Sc  0.250  0.906  0.000
Te  0.250  0.722  0.500